# Ho6Er2Pu

Crystalline Ho6Er2Pu at its relaxed geometry (PBE-GGA, Alexandria via LeMat-Bulk).

Unit cell a=6.075 b=6.075 c=20.372 alpha=101.50 beta=101.50 gamma=48.15
Fractional coordinates of all 18 atoms:
Ho1 0.027 0.027 0.196
Ho2 0.084 0.084 0.585
Ho3 0.140 0.140 0.972
Ho4 0.196 0.196 0.359
Ho5 0.361 0.361 0.528
Ho6 0.416 0.416 0.915
Ho7 0.584 0.584 0.085
Ho8 0.639 0.639 0.472
Ho9 0.804 0.804 0.641
Ho10 0.860 0.860 0.028
Ho11 0.916 0.916 0.415
Ho12 0.973 0.973 0.804
Er1 0.303 0.303 0.140
Er2 0.472 0.472 0.304
Er3 0.528 0.528 0.696
Er4 0.697 0.697 0.860
Pu1 0.250 0.250 0.750
Pu2 0.750 0.750 0.250

Summary:
The density of states at the Fermi level is 38.2 states/eV/cell. For the calculated volume, the calculation gives 30.36 Å³ per atom. The space group is C2/m, No. 12. The value obtained for the energy of formation from the pure elements is 0.052 eV per atom. The energy above the most stable polymorph in this dataset comes out at 0.00 eV per formula unit.



# Ho12Er7Pu

Crystalline Ho12Er7Pu at its relaxed geometry (PBE-GGA, Alexandria via LeMat-Bulk).

Unit cell a=8.599 b=8.599 c=8.599 alpha=90.58 beta=90.58 gamma=90.58
Fractional coordinates of all 20 atoms:
Ho1 0.125 0.457 0.348
Ho2 0.227 0.375 0.769
Ho3 0.231 0.773 0.625
Ho4 0.348 0.125 0.457
Ho5 0.375 0.769 0.227
Ho6 0.457 0.348 0.125
Ho7 0.543 0.652 0.875
Ho8 0.625 0.231 0.773
Ho9 0.652 0.875 0.543
Ho10 0.769 0.227 0.375
Ho11 0.773 0.625 0.231
Ho12 0.875 0.543 0.652
Er1 0.025 0.930 0.326
Er2 0.070 0.674 0.975
Er3 0.326 0.025 0.930
Er4 0.500 0.500 0.500
Er5 0.674 0.975 0.070
Er6 0.930 0.326 0.025
Er7 0.975 0.070 0.674
Pu1 0.000 0.000 0.000

Summary:
The density of states at the Fermi level is 39.1 states/eV/cell. For the calculated volume, the calculation gives 31.79 Å³ per atom. The space group is R-3, No. 148. The value obtained for the energy of formation from the pure elements is 0.257 eV per atom. The energy above the most stable polymorph in this dataset comes out at 0.00 eV per formula unit.



# Ho2ErPuS4

Crystalline Ho2ErPuS4 at its relaxed geometry (PBE-GGA, Alexandria via LeMat-Bulk).

Unit cell a=6.752 b=3.882 c=6.754 alpha=90.00 beta=109.21 gamma=90.00
Fractional coordinates of all 8 atoms:
Ho1 0.000 0.000 0.000
Ho2 0.000 0.500 0.500
Er1 0.500 0.000 0.500
Pu1 0.500 0.500 0.000
S1 0.247 0.000 0.746
S2 0.249 0.500 0.253
S3 0.751 0.500 0.747
S4 0.753 0.000 0.254

Summary:
The density of states at the Fermi level is 7.1 states/eV/cell. For the calculated volume, the calculation gives 20.90 Å³ per atom. For the raw formation energy, the calculation gives -1942 meV/atom. The space group is P2/m, No. 10.



Which of these has the highest density of states at the Fermi level?
Ho12Er7Pu